(1)
Density functional theory data (PBE) for a relaxed Rb2PaPbSe4 crystal.

Cell: 4.3810 7.7132 8.3139 Å, 107.29 90.00 90.00°
Closest atoms and distances in Å follow each position.
Sites, in units of the cell vectors:
Rb (0.5000, 0.0000, 0.5000)  6 Se 3.56-3.62
Rb (0.0000, 0.5000, 0.5000)  6 Se 3.40-3.42
Pa (0.5000, 0.5000, 0.0000)  6 Se 2.85-2.93
Pb (0.0000, 0.0000, 0.0000)  6 Se 3.10-3.11
Se (0.5000, 0.2590, 0.2015)  1 Pa 2.85, 2 Pb 3.10
Se (0.5000, 0.7410, 0.7985)  1 Pa 2.85, 2 Pb 3.10
Se (0.0000, 0.2854, 0.8033)  2 Pa 2.93, 1 Pb 3.11
Se (0.0000, 0.7146, 0.1967)  2 Pa 2.93, 1 Pb 3.11

Values from the calculation:
Raw formation energy: -9.44 eV per formula unit
Total magnetization: 0.13 μB/atom
SG: P2/m (10)
Electronic total energy: -4.81 eV per atom
Calculated volume: 268.3 Å³ per cell

(2)
Density functional theory data (PBE) for a relaxed Ba2LiAu crystal.

Cell: 7.3132 7.3132 7.3132 Å, 148.25 134.49 56.55°
Closest atoms and distances in Å follow each position.
Sites, in units of the cell vectors:
Au (0.2738, 0.7738, 0.5000)  2 Li 2.77
Ba (0.0513, 0.0513, 0.0000)  2 Au 3.50, 2 Ba 3.83, 4 Li 3.84
Ba (0.7521, 0.2521, 0.5000)  4 Au 3.48, 2 Li 3.58, 2 Ba 3.83
Li (0.4228, 0.4228, 0.0000)  2 Au 2.77

Values from the calculation:
Total magnetization: 0.00 μB/atom
SG: Imm2 (44)
DFT formation energy: -1.17 eV per formula unit
Electronic total energy: -2.55 eV per atom
Energy above the most stable polymorph in this dataset: 0.1184 eV per atom
Calculated volume: 145.8 Å³ per cell

What is the formula in the first record?
Rb2PaPbSe4